# Cu2SnBi2 PBE-GGA optimized geometry
# formation energy from the elements = 0.18 eV/atom
# E above lowest polymorph = 0.019 eV per atom
data_Cu2SnBi2
_chemical_formula_sum 'Cu4 Sn2 Bi4'
_cell_length_a 7.245
_cell_length_b 7.245
_cell_length_c 4.301
_cell_angle_alpha 90.00
_cell_angle_beta 90.00
_cell_angle_gamma 90.00
_symmetry_space_group_name_H-M 'P 4/m b m'
_symmetry_Int_Tables_number 127
_symmetry_space_group_name_Hall '-P 4 2ab'
loop_
_atom_site_label
_atom_site_fract_x
_atom_site_fract_y
_atom_site_fract_z
Cu1 0.122 0.378 0.000
Sn1 0.000 0.000 0.000
Bi1 0.171 0.671 0.500

# LiPtRh2 PBE-GGA optimized geometry
# formation energy from the elements = -0.19 eV/atom
# E above lowest polymorph = 0.067 eV per atom
data_LiPtRh2
_chemical_formula_sum 'Li2 Pt2 Rh4'
_cell_length_a 9.058
_cell_length_b 2.721
_cell_length_c 4.629
_cell_angle_alpha 90.00
_cell_angle_beta 98.91
_cell_angle_gamma 90.00
_symmetry_space_group_name_H-M 'C 1 2/m 1'
_symmetry_Int_Tables_number 12
_symmetry_space_group_name_Hall '-C 2y'
loop_
_atom_site_label
_atom_site_fract_x
_atom_site_fract_y
_atom_site_fract_z
Li1 0.000 0.000 0.000
Pt1 0.000 0.500 0.500
Rh1 0.243 0.000 0.749

# Er12Cu6Ag PBE-GGA optimized geometry
# formation energy from the elements = -0.18 eV/atom
data_Er12Cu6Ag
_chemical_formula_sum 'Er24 Cu12 Ag2'
_cell_length_a 9.699
_cell_length_b 9.699
_cell_length_c 9.699
_cell_angle_alpha 90.00
_cell_angle_beta 90.00
_cell_angle_gamma 90.00
_symmetry_space_group_name_H-M 'I m -3'
_symmetry_Int_Tables_number 204
_symmetry_space_group_name_Hall '-I 2 2 3'
loop_
_atom_site_label
_atom_site_fract_x
_atom_site_fract_y
_atom_site_fract_z
Er1 0.000 0.293 0.188
Cu1 0.000 0.125 0.500
Ag1 0.000 0.000 0.000

# RbGeOsI2 PBE-GGA optimized geometry
# energy relative to the elements, uncorrected = 0.03 eV per atom
data_RbGeOsI2
_chemical_formula_sum 'Rb1 Ge1 Os1 I2'
_cell_length_a 5.851
_cell_length_b 5.851
_cell_length_c 4.720
_cell_angle_alpha 90.00
_cell_angle_beta 90.00
_cell_angle_gamma 90.00
_symmetry_space_group_name_H-M 'P 4/m m m'
_symmetry_Int_Tables_number 123
_symmetry_space_group_name_Hall '-P 4 2'
loop_
_atom_site_label
_atom_site_fract_x
_atom_site_fract_y
_atom_site_fract_z
Rb1 0.000 0.000 0.000
Ge1 0.500 0.500 0.000
Os1 0.500 0.500 0.500
I1 0.000 0.500 0.500

# HfMo6W PBE-GGA optimized geometry
# formation energy from the elements = 0.73 eV/atom
data_HfMo6W
_chemical_formula_sum 'Hf2 Mo12 W2'
_cell_length_a 7.316
_cell_length_b 5.313
_cell_length_c 7.810
_cell_angle_alpha 90.00
_cell_angle_beta 103.24
_cell_angle_gamma 90.00
_symmetry_space_group_name_H-M 'C 1 2/m 1'
_symmetry_Int_Tables_number 12
_symmetry_space_group_name_Hall '-C 2y'
loop_
_atom_site_label
_atom_site_fract_x
_atom_site_fract_y
_atom_site_fract_z
Hf1 0.000 0.000 0.000
Mo1 0.129 0.000 0.416
Mo2 0.201 0.239 0.784
W1 0.000 0.500 0.500

# Pr4ThSn2 PBE-GGA optimized geometry
# formation energy from the elements = -0.20 eV/atom
data_Pr4ThSn2
_chemical_formula_sum 'Pr12 Th3 Sn6'
_cell_length_a 5.4315
_cell_length_b 5.4315
_cell_length_c 29.7593
_cell_angle_alpha 90.00
_cell_angle_beta 90.00
_cell_angle_gamma 120.00
_symmetry_space_group_name_H-M 'R -3 m'
_symmetry_Int_Tables_number 166
_symmetry_space_group_name_Hall '-R 3 2"'
loop_
_atom_site_label
_atom_site_fract_x
_atom_site_fract_y
_atom_site_fract_z
Pr1 0.0000 0.0000 0.1173
Pr2 0.0000 0.0000 0.2858
Th1 0.0000 0.0000 0.5000
Sn1 0.0000 0.0000 0.3945

# Tb3Sm2Se6 PBE-GGA optimized geometry
# E above lowest polymorph = 0.101 eV per atom
# energy relative to the elements, uncorrected = -1.78 eV per atom
data_Tb3Sm2Se6
_chemical_formula_sum 'Tb9 Sm6 Se18'
_cell_length_a 4.1739
_cell_length_b 4.1739
_cell_length_c 60.6234
_cell_angle_alpha 90.00
_cell_angle_beta 90.00
_cell_angle_gamma 120.00
_symmetry_space_group_name_H-M 'R -3 m'
_symmetry_Int_Tables_number 166
_symmetry_space_group_name_Hall '-R 3 2"'
loop_
_atom_site_label
_atom_site_fract_x
_atom_site_fract_y
_atom_site_fract_z
Tb1 0.0000 0.0000 0.0000
Tb2 0.0000 0.0000 0.2803
Sm1 0.0000 0.0000 0.4460
Se1 0.0000 0.0000 0.0810
Se2 0.0000 0.0000 0.1968
Se3 0.0000 0.0000 0.3602

# LiLa2Ag2 PBE-GGA optimized geometry
# formation energy from the elements = -0.02 eV/atom
# E above lowest polymorph = 0.167 eV per atom
data_LiLa2Ag2
_chemical_formula_sum 'Li2 La4 Ag4'
_cell_length_a 8.997
_cell_length_b 8.997
_cell_length_c 3.537
_cell_angle_alpha 90.00
_cell_angle_beta 90.00
_cell_angle_gamma 90.00
_symmetry_space_group_name_H-M 'P 4/m b m'
_symmetry_Int_Tables_number 127
_symmetry_space_group_name_Hall '-P 4 2ab'
loop_
_atom_site_label
_atom_site_fract_x
_atom_site_fract_y
_atom_site_fract_z
Li1 0.000 0.000 0.000
La1 0.162 0.338 0.000
Ag1 0.131 0.631 0.500

# VCr2NiSn PBE-GGA optimized geometry
# formation energy from the elements = 0.92 eV/atom
data_VCr2NiSn
_chemical_formula_sum 'V1 Cr2 Ni1 Sn1'
_cell_length_a 4.373
_cell_length_b 4.373
_cell_length_c 4.469
_cell_angle_alpha 90.00
_cell_angle_beta 90.00
_cell_angle_gamma 90.00
_symmetry_space_group_name_H-M 'P 4/m m m'
_symmetry_Int_Tables_number 123
_symmetry_space_group_name_Hall '-P 4 2'
loop_
_atom_site_label
_atom_site_fract_x
_atom_site_fract_y
_atom_site_fract_z
V1 0.000 0.000 0.000
Cr1 0.000 0.500 0.000
Ni1 0.000 0.000 0.500
Sn1 0.500 0.500 0.500

# CeY2GaN PBE-GGA optimized geometry
# energy relative to the elements, uncorrected = -0.89 eV per atom
data_CeY2GaN
_chemical_formula_sum 'Ce1 Y2 Ga1 N1'
_cell_length_a 4.799
_cell_length_b 4.799
_cell_length_c 4.797
_cell_angle_alpha 90.00
_cell_angle_beta 90.00
_cell_angle_gamma 90.00
_symmetry_space_group_name_H-M 'P 4/m m m'
_symmetry_Int_Tables_number 123
_symmetry_space_group_name_Hall '-P 4 2'
loop_
_atom_site_label
_atom_site_fract_x
_atom_site_fract_y
_atom_site_fract_z
Ce1 0.000 0.000 0.000
Y1 0.000 0.500 0.500
Ga1 0.500 0.500 0.000
N1 0.000 0.000 0.500

# Rb2CdSiTe4 PBE-GGA optimized geometry
# energy relative to the elements, uncorrected = -0.57 eV per atom
data_Rb2CdSiTe4
_chemical_formula_sum 'Rb16 Cd8 Si8 Te32'
_cell_length_a 6.885
_cell_length_b 14.935
_cell_length_c 26.999
_cell_angle_alpha 90.00
_cell_angle_beta 90.00
_cell_angle_gamma 90.00
_symmetry_space_group_name_H-M 'F d d d'
_symmetry_Int_Tables_number 70
loop_
_symmetry_equiv_pos_as_xyz
'x,y,z'
'-x,-y,-z'
'-x+1/4,-y+1/4,z'
'x+1/4,y+1/4,-z'
'x,-y+1/4,-z+1/4'
'-x,y+1/4,z+1/4'
'-x+1/4,y,-z+1/4'
'x+1/4,-y,z+1/4'
'x,y+1/2,z+1/2'
'-x,-y+1/2,-z+1/2'
'-x+1/4,-y+3/4,z+1/2'
'x+1/4,y+3/4,-z+1/2'
'x,-y+3/4,-z+3/4'
'-x,y+3/4,z+3/4'
'-x+1/4,y+1/2,-z+3/4'
'x+1/4,-y+1/2,z+3/4'
'x+1/2,y,z+1/2'
'-x+1/2,-y,-z+1/2'
'-x+3/4,-y+1/4,z+1/2'
'x+3/4,y+1/4,-z+1/2'
'x+1/2,-y+1/4,-z+3/4'
'-x+1/2,y+1/4,z+3/4'
'-x+3/4,y,-z+3/4'
'x+3/4,-y,z+3/4'
'x+1/2,y+1/2,z'
'-x+1/2,-y+1/2,-z'
'-x+3/4,-y+3/4,z'
'x+3/4,y+3/4,-z'
'x+1/2,-y+3/4,-z+1/4'
'-x+1/2,y+3/4,z+1/4'
'-x+3/4,y+1/2,-z+1/4'
'x+3/4,-y+1/2,z+1/4'
loop_
_atom_site_label
_atom_site_fract_x
_atom_site_fract_y
_atom_site_fract_z
Rb1 0.125 0.125 0.311
Cd1 0.125 0.125 0.125
Si1 0.125 0.125 0.625
Te1 0.089 0.275 0.821

# Zn3Ga2Cu8 PBE-GGA optimized geometry
# formation energy from the elements = 0.04 eV/atom
# E above lowest polymorph = 0.060 eV per atom
data_Zn3Ga2Cu8
_chemical_formula_sum 'Zn6 Ga4 Cu16'
_cell_length_a 10.487
_cell_length_b 7.037
_cell_length_c 5.030
_cell_angle_alpha 90.00
_cell_angle_beta 99.76
_cell_angle_gamma 90.00
_symmetry_space_group_name_H-M 'C 1 2/m 1'
_symmetry_Int_Tables_number 12
_symmetry_space_group_name_Hall '-C 2y'
loop_
_atom_site_label
_atom_site_fract_x
_atom_site_fract_y
_atom_site_fract_z
Zn1 0.000 0.000 0.000
Zn2 0.000 0.186 0.500
Ga1 0.207 0.000 0.768
Cu1 0.077 0.500 0.350
Cu2 0.118 0.315 0.939
Cu3 0.217 0.000 0.285

# MgFe3Se PBE-GGA optimized geometry
# E above lowest polymorph = 0.992 eV per atom
# energy relative to the elements, uncorrected = 1.47 eV per atom
data_MgFe3Se
_chemical_formula_sum 'Mg1 Fe3 Se1'
_cell_length_a 4.516
_cell_length_b 4.516
_cell_length_c 4.516
_cell_angle_alpha 90.00
_cell_angle_beta 90.00
_cell_angle_gamma 90.00
_symmetry_space_group_name_H-M 'P m -3 m'
_symmetry_Int_Tables_number 221
_symmetry_space_group_name_Hall '-P 4 2 3'
loop_
_atom_site_label
_atom_site_fract_x
_atom_site_fract_y
_atom_site_fract_z
Mg1 0.000 0.000 0.000
Fe1 0.000 0.000 0.500
Se1 0.500 0.500 0.500

# TiZnSn PBE-GGA optimized geometry
# formation energy from the elements = -0.15 eV/atom
data_TiZnSn
_chemical_formula_sum 'Ti4 Zn4 Sn4'
_cell_length_a 5.389
_cell_length_b 13.527
_cell_length_c 3.063
_cell_angle_alpha 90.00
_cell_angle_beta 94.41
_cell_angle_gamma 90.00
_symmetry_space_group_name_H-M 'C 1 2/m 1'
_symmetry_Int_Tables_number 12
_symmetry_space_group_name_Hall '-C 2y'
loop_
_atom_site_label
_atom_site_fract_x
_atom_site_fract_y
_atom_site_fract_z
Ti1 0.000 0.148 0.000
Zn1 0.232 0.000 0.519
Sn1 0.000 0.329 0.500

# Pm2TmGa3Pt4 PBE-GGA optimized geometry
# formation energy from the elements = -1.00 eV/atom
data_Pm2TmGa3Pt4
_chemical_formula_sum 'Pm2 Tm1 Ga3 Pt4'
_cell_length_a 4.214
_cell_length_b 4.214
_cell_length_c 11.474
_cell_angle_alpha 90.00
_cell_angle_beta 90.00
_cell_angle_gamma 90.00
_symmetry_space_group_name_H-M 'P -4 m 2'
_symmetry_Int_Tables_number 115
_symmetry_space_group_name_Hall 'P -4 -2'
loop_
_atom_site_label
_atom_site_fract_x
_atom_site_fract_y
_atom_site_fract_z
Pm1 0.000 0.500 0.229
Tm1 0.000 0.000 0.500
Ga1 0.000 0.500 0.874
Ga2 0.500 0.500 0.500
Pt1 0.000 0.000 0.000
Pt2 0.000 0.500 0.656
Pt3 0.500 0.500 0.000

# ScReO4 PBE-GGA optimized geometry
# energy relative to the elements, uncorrected = -2.28 eV per atom
data_ScReO4
_chemical_formula_sum 'Sc4 Re4 O16'
_cell_length_a 6.727
_cell_length_b 6.727
_cell_length_c 6.239
_cell_angle_alpha 90.00
_cell_angle_beta 90.00
_cell_angle_gamma 90.00
_symmetry_space_group_name_H-M 'I 41 m d'
_symmetry_Int_Tables_number 109
_symmetry_space_group_name_Hall 'I 4bw -2'
loop_
_atom_site_label
_atom_site_fract_x
_atom_site_fract_y
_atom_site_fract_z
Sc1 0.000 0.000 0.000
Re1 0.000 0.000 0.511
O1 0.000 0.293 0.537
O2 0.000 0.306 0.997

# Li2AlTe2 PBE-GGA optimized geometry
# energy relative to the elements, uncorrected = -0.45 eV per atom
data_Li2AlTe2
_chemical_formula_sum 'Li4 Al2 Te4'
_cell_length_a 8.399
_cell_length_b 8.399
_cell_length_c 3.231
_cell_angle_alpha 90.00
_cell_angle_beta 90.00
_cell_angle_gamma 90.00
_symmetry_space_group_name_H-M 'P 4/m b m'
_symmetry_Int_Tables_number 127
_symmetry_space_group_name_Hall '-P 4 2ab'
loop_
_atom_site_label
_atom_site_fract_x
_atom_site_fract_y
_atom_site_fract_z
Li1 0.128 0.372 0.000
Al1 0.000 0.000 0.500
Te1 0.173 0.673 0.500

# Li2CoRu PBE-GGA optimized geometry
# formation energy from the elements = 0.45 eV/atom
# E above lowest polymorph = 0.331 eV per atom
data_Li2CoRu
_chemical_formula_sum 'Li2 Co1 Ru1'
_cell_length_a 3.147
_cell_length_b 3.147
_cell_length_c 4.975
_cell_angle_alpha 90.00
_cell_angle_beta 90.00
_cell_angle_gamma 90.00
_symmetry_space_group_name_H-M 'P 4/m m m'
_symmetry_Int_Tables_number 123
_symmetry_space_group_name_Hall '-P 4 2'
loop_
_atom_site_label
_atom_site_fract_x
_atom_site_fract_y
_atom_site_fract_z
Li1 0.000 0.000 0.242
Co1 0.500 0.500 0.000
Ru1 0.500 0.500 0.500

# CeSm8Tm6 PBE-GGA optimized geometry
# formation energy from the elements = 0.13 eV/atom
data_CeSm8Tm6
_chemical_formula_sum 'Ce3 Sm24 Tm18'
_cell_length_a 9.0049
_cell_length_b 9.0049
_cell_length_c 20.7422
_cell_angle_alpha 90.00
_cell_angle_beta 90.00
_cell_angle_gamma 120.00
_symmetry_space_group_name_H-M 'R -3'
_symmetry_Int_Tables_number 148
_symmetry_space_group_name_Hall '-R 3'
loop_
_atom_site_label
_atom_site_fract_x
_atom_site_fract_y
_atom_site_fract_z
Ce1 0.0000 0.0000 0.0000
Sm1 0.0000 0.0000 0.4222
Sm2 0.0812 0.5191 0.8043
Tm1 0.0466 0.8030 0.7064

# Ac2GaSb3Pd4 PBE-GGA optimized geometry
# energy relative to the elements, uncorrected = -0.90 eV per atom
data_Ac2GaSb3Pd4
_chemical_formula_sum 'Ac2 Ga1 Sb3 Pd4'
_cell_length_a 4.646
_cell_length_b 4.646
_cell_length_c 10.749
_cell_angle_alpha 90.00
_cell_angle_beta 90.00
_cell_angle_gamma 90.00
_symmetry_space_group_name_H-M 'P -4 m 2'
_symmetry_Int_Tables_number 115
_symmetry_space_group_name_Hall 'P -4 -2'
loop_
_atom_site_label
_atom_site_fract_x
_atom_site_fract_y
_atom_site_fract_z
Ac1 0.000 0.500 0.247
Ga1 0.000 0.000 0.500
Sb1 0.000 0.500 0.868
Sb2 0.500 0.500 0.500
Pd1 0.000 0.000 0.000
Pd2 0.000 0.500 0.621
Pd3 0.500 0.500 0.000